Compound: Th5Zr2Sb5
Source: the Alexandria database
Functional: PBE
Structure: optimized geometry

Values from the calculation:
Calculated total energy (eV/atom): -6.7755
Formation energy from raw total energies (eV/atom): -0.542
DOS at the Fermi energy (states/eV per atom): 0.850
SG: C2/m, No. 12

Cell lengths 7.7398, 7.7398, 12.3660 Å; angles 115.14, 115.14, 33.06 degrees
Positions (direct):
Th (0.0000, 0.0000, 0.0000)
Th (0.1605, 0.1605, 0.5296)
Th (0.2046, 0.2046, 0.8167)
Th (0.7954, 0.7954, 0.1833)
Th (0.8395, 0.8395, 0.4704)
Zr (0.4403, 0.4403, 0.7038)
Zr (0.5597, 0.5597, 0.2962)
Sb (0.1836, 0.1836, 0.2757)
Sb (0.3812, 0.3812, 0.0706)
Sb (0.5000, 0.5000, 0.5000)
Sb (0.6188, 0.6188, 0.9294)
Sb (0.8164, 0.8164, 0.7243)



Compound: Th4ZrSb5
Source: the Alexandria database
Functional: PBE
Structure: optimized geometry

Values from the calculation:
Calculated total energy (eV/atom): -6.6727
Formation energy from raw total energies (eV/atom): -0.789
DOS at the Fermi energy (states/eV per atom): 0.782
SG: I4/mmm, No. 139

Cell lengths 15.9663, 15.9663, 15.9663 Å; angles 163.96, 163.96, 22.76 degrees
Positions (direct):
Th (0.0993, 0.0993, 0.0000)
Th (0.3030, 0.3030, 0.0000)
Th (0.6970, 0.6970, 0.0000)
Th (0.9007, 0.9007, 0.0000)
Zr (0.5000, 0.5000, 0.0000)
Sb (0.0000, 0.0000, 0.0000)
Sb (0.2011, 0.2011, 0.0000)
Sb (0.4054, 0.4054, 0.0000)
Sb (0.5946, 0.5946, 0.0000)
Sb (0.7989, 0.7989, 0.0000)



Compound: ThZr3Sb3
Source: the Alexandria database
Functional: PBE
Structure: optimized geometry

Values from the calculation:
Calculated total energy (eV/atom): -7.0150
Formation energy from raw total energies (eV/atom): -0.525
DOS at the Fermi energy (states/eV per atom): 0.654
SG: R-3, No. 148

Cell lengths 7.4792, 7.4792, 7.4792 Å; angles 72.56, 72.56, 72.56 degrees
Positions (direct):
Th (0.2010, 0.2010, 0.2010)
Th (0.7990, 0.7990, 0.7990)
Zr (0.1857, 0.6304, 0.4356)
Zr (0.3696, 0.5644, 0.8143)
Zr (0.4356, 0.1857, 0.6304)
Zr (0.5644, 0.8143, 0.3696)
Zr (0.6304, 0.4356, 0.1857)
Zr (0.8143, 0.3696, 0.5644)
Sb (0.0521, 0.3775, 0.8144)
Sb (0.1856, 0.9479, 0.6225)
Sb (0.3775, 0.8144, 0.0521)
Sb (0.6225, 0.1856, 0.9479)
Sb (0.8144, 0.0521, 0.3775)
Sb (0.9479, 0.6225, 0.1856)



Compound: ThZrSb2
Source: the Alexandria database
Functional: PBE
Structure: optimized geometry

Values from the calculation:
Calculated total energy (eV/atom): -6.7088
Formation energy from raw total energies (eV/atom): -0.656
DOS at the Fermi energy (states/eV per atom): 0.828
SG: Ima2, No. 46

Cell lengths 7.5045, 7.5045, 7.5045 Å; angles 131.51, 71.00, 131.51 degrees
Positions (direct):
Th (0.1252, 0.2500, 0.3752)
Th (0.8748, 0.7500, 0.6248)
Zr (0.3761, 0.7513, 0.1248)
Zr (0.6265, 0.2513, 0.8752)
Sb (0.1341, 0.7511, 0.8830)
Sb (0.3833, 0.2500, 0.6333)
Sb (0.6168, 0.7500, 0.3667)
Sb (0.8681, 0.2511, 0.1170)



Compound: ThZr2Sb2
Source: the Alexandria database
Functional: PBE
Structure: optimized geometry

Values from the calculation:
Calculated total energy (eV/atom): -6.9645
Formation energy from raw total energies (eV/atom): -0.412
DOS at the Fermi energy (states/eV per atom): 0.777
SG: C2/c, No. 15

Cell lengths 7.5682, 7.5682, 5.9176 Å; angles 109.89, 109.89, 101.25 degrees
Positions (direct):
Th (0.1006, 0.8994, 0.7500)
Th (0.8994, 0.1006, 0.2500)
Zr (0.2294, 0.4086, 0.0189)
Zr (0.4086, 0.2294, 0.5189)
Zr (0.5914, 0.7706, 0.4811)
Zr (0.7706, 0.5914, 0.9811)
Sb (0.1939, 0.8061, 0.2500)
Sb (0.3750, 0.6250, 0.7500)
Sb (0.6250, 0.3750, 0.2500)
Sb (0.8061, 0.1939, 0.7500)



Compound: ThZrSb2
Source: the Alexandria database
Functional: PBE
Structure: optimized geometry

Values from the calculation:
Calculated total energy (eV/atom): -6.6812
Formation energy from raw total energies (eV/atom): -0.628
DOS at the Fermi energy (states/eV per atom): 0.946
SG: P4/mmm, No. 123

Cell lengths 3.6858, 3.6858, 7.5637 Å; angles 90.00, 90.00, 90.00 degrees
Positions (direct):
Th (0.0000, 0.0000, 0.0000)
Zr (0.0000, 0.0000, 0.5000)
Sb (0.5000, 0.5000, 0.2758)
Sb (0.5000, 0.5000, 0.7242)



Compound: ThZrSb2
Source: the Alexandria database
Functional: PBE
Structure: optimized geometry

Values from the calculation:
Calculated total energy (eV/atom): -6.6752
Formation energy from raw total energies (eV/atom): -0.622
DOS at the Fermi energy (states/eV per atom): 1.147
SG: Fm-3m, No. 225

Cell lengths 5.2746, 5.2746, 5.2746 Å; angles 60.00, 60.00, 60.00 degrees
Positions (direct):
Th (0.0000, 0.0000, 0.0000)
Zr (0.5000, 0.5000, 0.5000)
Sb (0.2500, 0.2500, 0.2500)
Sb (0.7500, 0.7500, 0.7500)



Compound: Th3Zr2Sb3
Source: the Alexandria database
Functional: PBE
Structure: optimized geometry

Values from the calculation:
Calculated total energy (eV/atom): -7.1404
Formation energy from raw total energies (eV/atom): -0.675
DOS at the Fermi energy (states/eV per atom): 0.986
SG: P6_3/mcm, No. 193

Cell lengths 9.0604, 9.0604, 6.1193 Å; angles 90.00, 90.00, 120.00 degrees
Positions (direct):
Th (0.0000, 0.2507, 0.2500)
Th (0.0000, 0.7493, 0.7500)
Th (0.2507, 0.0000, 0.2500)
Th (0.2507, 0.2507, 0.7500)
Th (0.7493, 0.0000, 0.7500)
Th (0.7493, 0.7493, 0.2500)
Zr (0.3333, 0.6667, 0.0000)
Zr (0.3333, 0.6667, 0.5000)
Zr (0.6667, 0.3333, 0.0000)
Zr (0.6667, 0.3333, 0.5000)
Sb (0.0000, 0.3988, 0.7500)
Sb (0.0000, 0.6012, 0.2500)
Sb (0.3988, 0.0000, 0.7500)
Sb (0.3988, 0.3988, 0.2500)
Sb (0.6012, 0.0000, 0.2500)
Sb (0.6012, 0.6012, 0.7500)



Compound: ThZr2Sb4
Source: the Alexandria database
Functional: PBE
Structure: optimized geometry

Values from the calculation:
Calculated total energy (eV/atom): -6.4303
Formation energy from raw total energies (eV/atom): -0.572
DOS at the Fermi energy (states/eV per atom): 0.307
SG: Cmcm, No. 63

Cell lengths 7.0878, 7.0878, 14.0227 Å; angles 90.00, 90.00, 145.27 degrees
Positions (direct):
Th (0.1104, 0.8896, 0.7500)
Th (0.8896, 0.1104, 0.2500)
Zr (0.3657, 0.6343, 0.5572)
Zr (0.3657, 0.6343, 0.9428)
Zr (0.6343, 0.3657, 0.0572)
Zr (0.6343, 0.3657, 0.4428)
Sb (0.0000, 0.0000, 0.0000)
Sb (0.0000, 0.0000, 0.5000)
Sb (0.2653, 0.7347, 0.1281)
Sb (0.2653, 0.7347, 0.3719)
Sb (0.4362, 0.5638, 0.7500)
Sb (0.5638, 0.4362, 0.2500)
Sb (0.7347, 0.2653, 0.6281)
Sb (0.7347, 0.2653, 0.8719)



Compound: ThZr2Sb2
Source: the Alexandria database
Functional: PBE
Structure: optimized geometry

Values from the calculation:
Calculated total energy (eV/atom): -7.0812
Formation energy from raw total energies (eV/atom): -0.529
DOS at the Fermi energy (states/eV per atom): 0.360
SG: P-3m1, No. 164

Cell lengths 4.6701, 4.6701, 7.4740 Å; angles 90.00, 90.00, 120.00 degrees
Positions (direct):
Th (0.0000, 0.0000, 0.0000)
Zr (0.3333, 0.6667, 0.6313)
Zr (0.6667, 0.3333, 0.3687)
Sb (0.3333, 0.6667, 0.2347)
Sb (0.6667, 0.3333, 0.7653)



Compound: ThZr2Sb
Source: the Alexandria database
Functional: PBE
Structure: optimized geometry

Values from the calculation:
Calculated total energy (eV/atom): -7.5466
Formation energy from raw total energies (eV/atom): -0.387
DOS at the Fermi energy (states/eV per atom): 1.135
SG: P4/mmm, No. 123

Cell lengths 4.8562, 4.8562, 4.1016 Å; angles 90.00, 90.00, 90.00 degrees
Positions (direct):
Th (0.0000, 0.0000, 0.0000)
Zr (0.0000, 0.5000, 0.5000)
Zr (0.5000, 0.0000, 0.5000)
Sb (0.5000, 0.5000, 0.0000)



Compound: ThZrSb2
Source: the Alexandria database
Functional: PBE
Structure: optimized geometry

Values from the calculation:
Calculated total energy (eV/atom): -6.7598
Formation energy from raw total energies (eV/atom): -0.707
DOS at the Fermi energy (states/eV per atom): 0.238
SG: R3m, No. 160

Cell lengths 7.7938, 7.7938, 7.7938 Å; angles 31.65, 31.65, 31.65 degrees
Positions (direct):
Th (0.0000, 0.0000, 0.0000)
Zr (0.8246, 0.8246, 0.8246)
Sb (0.4198, 0.4198, 0.4198)
Sb (0.5721, 0.5721, 0.5721)